[1]
First-principles (PBE) data for a relaxed CaTc2Pb crystal, as listed in Alexandria.

The volume comes out at 21.17 Å³/atom. The size of the total moment is 0.72 μB/f.u. The value obtained for the total DFT energy (no corrections) is -5.94 eV/atom. The energy of formation from the pure elements is 0.670 eV per atom.

It has space group P4/mmm (No. 123), with a = 3.6000 Å, b = 3.6000 Å, c = 6.5333 Å, α = 90.00°, β = 90.00° and γ = 90.00°. Symmetry generates all atoms from Ca at (0.0000, 0.0000, 0.0000), Tc at (0.5000, 0.5000, 0.3077) and Pb at (0.0000, 0.0000, 0.5000).

[2]
First-principles (PBE) data for a relaxed HoNp2O7 crystal, as listed in Alexandria.

The volume comes out at 12.75 Å³/atom. The raw formation energy comes out at -3.00 eV/atom. The size of the total moment is 3.00 μB/f.u. The value obtained for the total DFT energy (no corrections) is -9.52 eV/atom.

It has space group R-3m (No. 166, hexagonal axes), with a = 3.8069 Å, b = 3.8069 Å, c = 30.4710 Å, α = 90.00°, β = 90.00° and γ = 120.00°. Symmetry generates all atoms from Ho at (0.0000, 0.0000, 0.0000), Np at (0.0000, 0.0000, 0.4323), O at (0.0000, 0.0000, 0.0770), O at (0.0000, 0.0000, 0.2199), O at (0.0000, 0.0000, 0.3618) and O at (0.0000, 0.0000, 0.5000).

[3]
First-principles (PBE) data for a relaxed Sr2GaN crystal, as listed in Alexandria.

The volume comes out at 25.03 Å³/atom. The raw formation energy comes out at -0.53 eV/atom. The size of the total moment is 0.00 μB/f.u. The value obtained for the total DFT energy (no corrections) is -4.21 eV/atom.

It has space group Pnma (No. 62), with a = 7.3829 Å, b = 5.3702 Å, c = 10.0997 Å, α = 90.00°, β = 90.00° and γ = 90.00°. Symmetry generates all atoms from Sr at (0.0444, 0.2500, 0.2111), Sr at (0.1468, 0.2500, 0.5740), Ga at (0.2068, 0.2500, 0.9107) and N at (0.1541, 0.7500, 0.5744).

[4]
First-principles (PBE) data for a relaxed TiAs2Pt crystal, as listed in Alexandria.

The volume comes out at 23.21 Å³/atom. The size of the total moment is 0.00 μB/f.u. The value obtained for the total DFT energy (no corrections) is -5.97 eV/atom. The energy of formation from the pure elements is -0.162 eV per atom. The value obtained for the excess energy over the best structure of this formula in the dataset is 3.50 kcal/mol of atoms.

It has space group I-42d (No. 122), with a = 5.7548 Å, b = 5.7548 Å, c = 11.2143 Å, α = 90.00°, β = 90.00° and γ = 90.00°. Symmetry generates all atoms from Ti at (0.0000, 0.0000, 0.0000), As at (0.2409, 0.2500, 0.6250) and Pt at (0.0000, 0.0000, 0.5000).

What did the fourth record say?
First-principles (PBE) data for a relaxed TiAs2Pt crystal, as listed in Alexandria.

The volume comes out at 23.21 Å³/atom. The size of the total moment is 0.00 μB/f.u. The value obtained for the total DFT energy (no corrections) is -5.97 eV/atom. The energy of formation from the pure elements is -0.162 eV per atom. The value obtained for the excess energy over the best structure of this formula in the dataset is 3.50 kcal/mol of atoms.

It has space group I-42d (No. 122), with a = 5.7548 Å, b = 5.7548 Å, c = 11.2143 Å, α = 90.00°, β = 90.00° and γ = 90.00°. Symmetry generates all atoms from Ti at (0.0000, 0.0000, 0.0000), As at (0.2409, 0.2500, 0.6250) and Pt at (0.0000, 0.0000, 0.5000).

Q: Among the records above, which one has the highest size of the total moment?
A: HoNp2O7